(1)
Pm3DyHo5: optimized geometry, PBE-GGA.

abc: 8.7000 8.7000 15.4291
angles: 90.00 90.00 90.00
Space group I4/mcm (No. 140)
Inequivalent atoms, fractional coordinates:
Pm: 0.0000 0.0000 0.2500
Pm: 0.1165 0.3835 0.0000
Dy: 0.0000 0.5000 0.2500
Ho: 0.0000 0.0000 0.0000
Ho: 0.2100 0.2900 0.3624

***

(2)
Pm4Dy2Ho5: optimized geometry, PBE-GGA.

abc: 19.1272 5.6464 6.6119
angles: 90.00 90.99 90.00
Space group C2/m (No. 12)
Inequivalent atoms, fractional coordinates:
Pm: 0.0204 0.0000 0.2870
Pm: 0.1948 0.5000 0.0739
Dy: 0.0980 0.5000 0.5537
Ho: 0.0000 0.5000 0.0000
Ho: 0.1301 0.0000 0.8919
Ho: 0.2086 0.0000 0.4016

***

| no. | energy relative to the lowest polymorph listed for this composition (eV per atom) | magnetization (μB/atom) | ΔH_f (0 K) (eV/atom) |
| --- | --- | --- | --- |
| 1 | 0.000 | 0.00 | 0.27 |
| 2 | 0.000 | 0.00 | 0.11 |